Record 1
Entry from Alexandria: a geometry-optimized BaAgRu2 structure (PBE).

The formation energy comes out at 410 kJ/mol of formula units. As for the energy above the lowest structure with this stoichiometry: 295 kJ/mol of formula units. Its space-group type is Fm-3m (225).

POSCAR file:
```
BaAgRu2
1.0
0.747 -3.180 3.597
-2.976 -3.803 0.538
1.580 -4.482 -1.009
Ru Ba Ag
2 1 1
Direct
0.250 0.250 0.250
0.750 0.750 0.750
0.500 0.500 0.500
0.000 0.000 0.000
```


Record 2
Entry from Alexandria: a geometry-optimized PrLuCuPd structure (PBE).

The formation energy comes out at -197 kJ/mol of formula units. Its space-group type is F-43m (216).

POSCAR file:
```
PrLuCuPd
1.0
-4.443 -0.372 -2.265
-4.153 -0.584 2.724
-3.306 3.736 0.350
Pr Lu Cu Pd
1 1 1 1
Direct
0.500 0.500 0.500
0.000 0.000 0.000
0.250 0.250 0.250
0.750 0.750 0.750
```


Record 3
Entry from Alexandria: a geometry-optimized VAg2Ru structure (PBE).

The formation energy comes out at 341 kJ/mol of formula units. As for the energy above the lowest structure with this stoichiometry: 357 kJ/mol of formula units. Its space-group type is I-42d (122).

POSCAR file:
```
VAg2Ru
1.0
-5.547 4.453 -2.063
0.028 -3.084 -6.733
-4.464 -1.070 -3.601
Ru Ag V
2 4 2
Direct
0.000 0.000 0.000
0.750 0.250 0.500
0.623 0.125 0.250
0.127 0.625 0.250
0.375 0.377 0.750
0.875 0.873 0.750
0.500 0.500 0.000
0.250 0.750 0.500
```


Record 4
Entry from Alexandria: a geometry-optimized ZnGeF3 structure (PBE).

As for the energy above the lowest structure with this stoichiometry: 150 kJ/mol of formula units. The value obtained for the formation energy from raw total energies is -1.530 eV/atom. Its space-group type is Pm-3m (221).

POSCAR file:
```
ZnGeF3
1.0
-0.716 -0.965 3.933
-3.087 -2.455 -1.164
2.621 -3.155 -0.297
Ge Zn F
1 1 3
Direct
0.500 0.500 0.500
0.000 0.000 0.000
0.000 0.500 0.000
0.000 0.000 0.500
0.500 0.000 0.000
```


Record 5
Entry from Alexandria: a geometry-optimized LaCe2Si structure (PBE).

As for the energy above the lowest structure with this stoichiometry: 158 kJ/mol of formula units. The value obtained for the formation energy from raw total energies is 0.025 eV/atom. Its space-group type is R-3m (166).

POSCAR file:
```
LaCe2Si
1.0
3.770 0.000 0.000
1.885 3.265 0.000
1.885 1.088 10.047
Si Ce La
1 2 1
Direct
0.500 0.500 0.500
0.107 0.107 0.680
0.893 0.893 0.320
0.000 0.000 0.000
```


Record 6
Entry from Alexandria: a geometry-optimized BaPmGePd structure (PBE).

The formation energy comes out at -176 kJ/mol of formula units. Its space-group type is F-43m (216).

POSCAR file:
```
BaPmGePd
1.0
-3.329 -0.711 4.153
-1.380 -4.963 1.515
1.860 -2.012 4.618
Ge Ba Pd Pm
1 1 1 1
Direct
0.500 0.500 0.500
0.250 0.250 0.250
0.000 0.000 0.000
0.750 0.750 0.750
```


Record 7
Entry from Alexandria: a geometry-optimized Li6ZnSn structure (PBE).

The formation energy comes out at -160 kJ/mol of formula units. As for the energy above the lowest structure with this stoichiometry: 27 kJ/mol of formula units. Its space-group type is P-1 (2).

POSCAR file:
```
Li6ZnSn
1.0
-3.832 0.711 6.203
2.237 -3.426 6.117
1.145 1.496 4.862
Li Zn Sn
6 1 1
Direct
0.000 0.501 0.746
0.753 0.000 0.744
0.499 0.248 0.254
0.247 0.000 0.256
0.000 0.499 0.254
0.501 0.752 0.746
0.500 0.500 0.500
0.000 0.000 0.000
```


Record 8
Entry from Alexandria: a geometry-optimized UTe2H2 structure (PBE).

As for the energy above the lowest structure with this stoichiometry: 28 kJ/mol of formula units. Its space-group type is C2/m (12).

POSCAR file:
```
UTe2H2
1.0
3.982 0.000 0.000
1.991 5.443 -0.465
1.991 0.095 9.135
U Te H
2 4 4
Direct
0.780 0.090 0.349
0.220 0.910 0.651
0.344 0.208 0.104
0.492 0.343 0.674
0.656 0.792 0.896
0.508 0.657 0.326
0.024 0.110 0.841
0.205 0.133 0.457
0.976 0.890 0.159
0.795 0.867 0.543
```


Record 9
Entry from Alexandria: a geometry-optimized Rb2NaTiS structure (PBE).

As for the energy above the lowest structure with this stoichiometry: 0 kJ/mol of formula units. The value obtained for the formation energy from raw total energies is 0.004 eV/atom. Its space-group type is P4/mmm (123).

POSCAR file:
```
Rb2NaTiS
1.0
7.354 0.000 0.000
0.000 4.620 0.000
0.000 0.000 7.354
Na S Rb Ti
1 1 2 1
Direct
0.500 0.500 0.500
0.000 0.500 0.000
0.000 0.000 0.500
0.500 0.000 0.000
0.000 0.000 0.000
```


Record 10
Entry from Alexandria: a geometry-optimized RbBi4Pb4 structure (PBE).

The formation energy comes out at -19 kJ/mol of formula units. Its space-group type is P4_2/n (86).

POSCAR file:
```
RbBi4Pb4
1.0
6.233 0.000 0.000
0.000 10.112 0.000
0.000 0.000 10.112
Rb Bi Pb
2 8 8
Direct
0.000 0.000 0.000
0.500 0.500 0.500
0.574 0.883 0.223
0.574 0.117 0.777
0.074 0.723 0.617
0.926 0.383 0.723
0.926 0.617 0.277
0.426 0.223 0.117
0.426 0.777 0.883
0.074 0.277 0.383
0.395 0.425 0.857
0.895 0.643 0.925
0.395 0.575 0.143
0.105 0.075 0.643
0.605 0.857 0.575
0.105 0.925 0.357
0.895 0.357 0.075
0.605 0.143 0.425
```


Record 11
Entry from Alexandria: a geometry-optimized CaMoW2 structure (PBE).

The formation energy comes out at 201 kJ/mol of formula units. As for the energy above the lowest structure with this stoichiometry: 0 kJ/mol of formula units. Its space-group type is Cmm2 (35).

POSCAR file:
```
CaMoW2
1.0
2.818 0.004 0.000
-0.930 2.660 0.000
0.000 0.000 9.704
Mo Ca W
1 1 2
Direct
0.500 0.500 0.779
0.000 0.000 0.500
0.000 0.000 0.999
0.500 0.500 0.222
```


Record 12
Entry from Alexandria: a geometry-optimized CsYSe2Br structure (PBE).

As for the energy above the lowest structure with this stoichiometry: 0 kJ/mol of formula units. The value obtained for the formation energy from raw total energies is -1.411 eV/atom. Its space-group type is P4/mmm (123).

POSCAR file:
```
CsYSe2Br
1.0
5.520 0.000 0.000
0.000 5.520 0.000
0.000 0.000 5.826
Cs Y Se Br
1 1 2 1
Direct
0.500 0.500 0.500
0.000 0.000 0.000
0.000 0.500 0.000
0.500 0.000 0.000
0.000 0.000 0.500
```